Record 1
First-principles (PBE) data for a relaxed structure of HoTh2CrN5, as listed in Alexandria.

Cell: 6.7245 6.7245 5.7241 Å, 90.00 90.00 90.00°
Last column: nearest neighbours and their distance in Å.
Element x y z (fractional)
Ho (0.0000, 0.0000, 0.0000)  10 N 2.86-2.90
Ho (0.5000, 0.5000, 0.0000)  10 N 2.86-2.90
Th (0.1697, 0.3303, 0.5000)  8 N 2.39-2.62
Th (0.3303, 0.8303, 0.5000)  8 N 2.39-2.62
Th (0.6697, 0.1697, 0.5000)  8 N 2.39-2.62
Th (0.8303, 0.6697, 0.5000)  8 N 2.39-2.62
Cr (0.0000, 0.5000, 0.0000)  4 N 1.86
Cr (0.5000, 0.0000, 0.0000)  4 N 1.86
N (0.0000, 0.0000, 0.5000)  4 Th 2.50
N (0.1408, 0.6408, 0.2255)  1 Cr 1.86
N (0.1408, 0.6408, 0.7745)  1 Cr 1.86
N (0.3592, 0.1408, 0.2255)  1 Cr 1.86
N (0.3592, 0.1408, 0.7745)  1 Cr 1.86
N (0.5000, 0.5000, 0.5000)  4 Th 2.50
N (0.6408, 0.8592, 0.2255)  1 Cr 1.86
N (0.6408, 0.8592, 0.7745)  1 Cr 1.86
N (0.8592, 0.3592, 0.2255)  1 Cr 1.86
N (0.8592, 0.3592, 0.7745)  1 Cr 1.86

## Properties
- Total magnetization: 0.0 μB per formula unit
- Energy relative to the elements, uncorrected: -1.0331 eV per atom

Record 2
First-principles (PBE) data for a relaxed structure of DyNpGaO6, as listed in Alexandria.

Cell: 5.5605 5.5605 8.7351 Å, 90.00 90.00 120.00°
Last column: nearest neighbours and their distance in Å.
Element x y z (fractional)
Dy (0.3333, 0.6667, 0.2500)  6 O 2.28
Dy (0.6667, 0.3333, 0.7500)  6 O 2.28
Np (0.3333, 0.6667, 0.7500)  6 O 2.08
Np (0.6667, 0.3333, 0.2500)  6 O 2.08
Ga (0.0000, 0.0000, 0.0000)  6 O 2.10
Ga (0.0000, 0.0000, 0.5000)  6 O 2.10
O (0.0278, 0.3356, 0.6248)  1 Np 2.08, 1 Ga 2.10, 1 Dy 2.28
O (0.0278, 0.6921, 0.8752)  1 Np 2.08, 1 Ga 2.10, 1 Dy 2.28
O (0.3079, 0.3356, 0.8752)  1 Np 2.08, 1 Ga 2.10, 1 Dy 2.28
O (0.3079, 0.9722, 0.6248)  1 Np 2.08, 1 Ga 2.10, 1 Dy 2.28
O (0.3356, 0.0278, 0.1248)  1 Np 2.08, 1 Ga 2.10, 1 Dy 2.28
O (0.3356, 0.3079, 0.3752)  1 Np 2.08, 1 Ga 2.10, 1 Dy 2.28
O (0.6644, 0.6921, 0.6248)  1 Np 2.08, 1 Ga 2.10, 1 Dy 2.28
O (0.6644, 0.9722, 0.8752)  1 Np 2.08, 1 Ga 2.10, 1 Dy 2.28
O (0.6921, 0.0278, 0.3752)  1 Np 2.08, 1 Ga 2.10, 1 Dy 2.28
O (0.6921, 0.6644, 0.1248)  1 Np 2.08, 1 Ga 2.10, 1 Dy 2.28
O (0.9722, 0.3079, 0.1248)  1 Np 2.08, 1 Ga 2.10, 1 Dy 2.28
O (0.9722, 0.6644, 0.3752)  1 Np 2.08, 1 Ga 2.10, 1 Dy 2.28

## Properties
- Total magnetization: 1.0 μB per formula unit
- Energy relative to the elements, uncorrected: -2.5192 eV per atom

Record 3
First-principles (PBE) data for a relaxed structure of DyH4, as listed in Alexandria.

Cell: 4.2056 4.2056 4.2056 Å, 90.00 90.00 90.00°
Last column: nearest neighbours and their distance in Å.
Element x y z (fractional)
Dy (0.0000, 0.0000, 0.0000)  6 H 2.10
H (0.0000, 0.0000, 0.5000)  2 Dy 2.10
H (0.0000, 0.5000, 0.0000)  2 Dy 2.10
H (0.5000, 0.0000, 0.0000)  2 Dy 2.10
H (0.5000, 0.5000, 0.5000)  12 H 2.97

## Properties
- Total magnetization: 1.0 μB per formula unit
- DFT total energy: -16.68 eV for the cell shown

Record 4
First-principles (PBE) data for a relaxed structure of Cr2CoP, as listed in Alexandria.

Cell: 2.6610 3.6640 4.5804 Å, 90.00 90.00 90.00°
Last column: nearest neighbours and their distance in Å.
Element x y z (fractional)
Cr (0.0000, 0.0000, 0.2335)  1 Cr 2.14
Cr (0.0000, 0.0000, 0.7665)  1 Cr 2.14
Co (0.5000, 0.5000, 0.5000)  2 P 2.29
P (0.5000, 0.5000, 0.0000)  2 Co 2.29, 8 Cr 2.50

## Properties
- Total magnetization: 0.4 μB per formula unit
- Energy of formation from the pure elements: -0.0950 eV/atom